Version A
Here is a relaxed structure of AcLaNdTl from Alexandria. Energies are from PBE-GGA.

Output
Crystal system: cubic

Unit cell a=5.780 b=5.780 c=5.780 alpha=60.00 beta=60.00 gamma=60.00
Element x y z (fractional)
Nd: 0.250 0.250 0.250
Tl: 0.000 0.000 0.000
Ac: 0.500 0.500 0.500
La: 0.750 0.750 0.750

---

Version B
Here is a relaxed structure of AcLaNdTl from Alexandria. Energies are from PBE-GGA.

Output
Crystal system: tetragonal

Unit cell a=6.143 b=5.682 c=6.143 alpha=122.64 beta=90.00 gamma=122.72
Element x y z (fractional)
Ac: 0.357 0.715 0.319
Nd: 0.607 0.215 0.069
Tl: 0.857 0.715 0.819
La: 0.107 0.215 0.569

---

Q: Which of them is the most stable? A: version B.

---

Version A
Here is a relaxed structure of AcLa2Ni from Alexandria. Energies are from PBE-GGA.

Output
Crystal system: monoclinic

Unit cell a=5.219 b=6.722 c=7.727 alpha=90.00 beta=90.00 gamma=112.89
Element x y z (fractional)
Ni: 0.794 0.593 0.750
Ac: 0.964 0.929 0.250
La: 0.654 0.308 0.472
Ac: 0.036 0.071 0.750
La: 0.654 0.308 0.028
La: 0.346 0.692 0.972
Ni: 0.206 0.407 0.250
La: 0.346 0.692 0.528

---

Version B
Here is a relaxed structure of AcLa2Ni from Alexandria. Energies are from PBE-GGA.

Output
Crystal system: trigonal

Unit cell a=4.045 b=4.045 c=9.915 alpha=78.23 beta=78.23 gamma=60.00
Element x y z (fractional)
La: 0.056 0.056 0.831
La: 0.277 0.277 0.169
Ac: 0.501 0.501 0.498
Ni: 0.666 0.666 0.002

---

Q: Which of them is the most stable? A: version A.

---

Version A
Here is a relaxed structure of AcLa2Ni from Alexandria. Energies are from PBE-GGA.

Output
Crystal system: trigonal

Unit cell a=3.918 b=3.918 c=11.069 alpha=79.81 beta=79.81 gamma=60.00
Element x y z (fractional)
La: 0.115 0.115 0.654
Ni: 0.500 0.500 0.500
Ac: 0.000 0.000 0.000
La: 0.885 0.885 0.346

---

Version B
Here is a relaxed structure of AcLa2Ni from Alexandria. Energies are from PBE-GGA.

Output
Crystal system: tetragonal

Unit cell a=3.682 b=3.682 c=9.348 alpha=90.00 beta=90.00 gamma=90.00
Element x y z (fractional)
Ni: 0.500 0.500 0.000
Ac: 0.500 0.500 0.500
La: 0.000 0.000 0.827
La: 0.000 0.000 0.173

---

Q: Which of them is the most stable? A: version B.